1.
## Al2CrSi (PBE)

Data for a relaxed structure of Al2CrSi.

The structure in CIF format:
```
data_Al2CrSi
_chemical_formula_sum 'Al2 Cr1 Si1'
_symmetry_space_group_name_H-M 'P 4 m m'
_symmetry_Int_Tables_number 99
_symmetry_space_group_name_Hall 'P 4 -2'
_cell_length_a 3.2296
_cell_length_b 3.2296
_cell_length_c 5.2621
_cell_angle_alpha 90.00
_cell_angle_beta 90.00
_cell_angle_gamma 90.00
loop_
_atom_site_label
_atom_site_type_symbol
_atom_site_fract_x
_atom_site_fract_y
_atom_site_fract_z
_atom_site_occupancy
Al1 Al 0.0000 0.0000 0.0000 1
Al2 Al 0.5000 0.5000 0.2738 1
Cr1 Cr 0.0000 0.0000 0.5258 1
Si1 Si 0.5000 0.5000 0.7420 1
```

Summary:
- Spin magnetization: 0.000 μB per atom
- Formation energy from raw total energies: -0.08 eV per atom

2.
## Al2CrSi (PBE)

Data for a relaxed structure of Al2CrSi.

The structure in CIF format:
```
data_Al2CrSi
_chemical_formula_sum 'Al4 Cr2 Si2'
_symmetry_space_group_name_H-M 'C m m m'
_symmetry_Int_Tables_number 65
_symmetry_space_group_name_Hall '-C 2 2'
_cell_length_a 5.1702
_cell_length_b 7.7379
_cell_length_c 2.8853
_cell_angle_alpha 90.00
_cell_angle_beta 90.00
_cell_angle_gamma 90.00
loop_
_atom_site_label
_atom_site_type_symbol
_atom_site_fract_x
_atom_site_fract_y
_atom_site_fract_z
_atom_site_occupancy
Al1 Al 0.2500 0.2500 0.0000 1
Cr1 Cr 0.0000 0.0000 0.5000 1
Si1 Si 0.0000 0.5000 0.5000 1
```

Summary:
- Spin magnetization: 0.601 μB per atom
- Formation energy from raw total energies: 0.02 eV per atom